# PBEsol Nb10Pb14O39, optimized geometry
# **Formation energy (no corrections)**: -1.979 eV/atom
# **V**: 14.7 Å³/atom
# **DOS at the Fermi energy**: 0.00 states/eV per cell
data_Nb10Pb14O39
_chemical_formula_sum 'Nb20 Pb28 O78'
_symmetry_space_group_name_H-M 'A m m 2'
_symmetry_Int_Tables_number 38
_cell_length_a 7.561
_cell_length_b 7.527
_cell_length_c 32.512
_cell_angle_alpha 90.00
_cell_angle_beta 90.00
_cell_angle_gamma 90.00
loop_
_symmetry_equiv_pos_as_xyz
'x,y,z'
'-x,-y,z'
'-x,y,z'
'x,-y,z'
'x,y+1/2,z+1/2'
'-x,-y+1/2,z+1/2'
'-x,y+1/2,z+1/2'
'x,-y+1/2,z+1/2'
loop_
_atom_site_label
_atom_site_type_symbol
_atom_site_fract_x
_atom_site_fract_y
_atom_site_fract_z
Nb1 Nb 0.000 0.247 0.000
Nb2 Nb 0.244 0.000 0.752
Nb3 Nb 0.250 0.000 0.417
Nb4 Nb 0.255 0.000 0.083
Nb5 Nb 0.500 0.250 0.334
Pb1 Pb 0.000 0.247 0.334
Pb2 Pb 0.000 0.248 0.161
Pb3 Pb 0.239 0.000 0.247
Pb4 Pb 0.255 0.000 0.915
Pb5 Pb 0.262 0.000 0.588
Pb6 Pb 0.500 0.249 0.174
Pb7 Pb 0.500 0.250 0.001
O1 O 0.000 0.000 0.099
O2 O 0.000 0.000 0.198
O3 O 0.000 0.000 0.292
O4 O 0.000 0.000 0.393
O5 O 0.000 0.000 0.516
O6 O 0.000 0.000 0.778
O7 O 0.000 0.000 0.976
O8 O 0.190 0.193 0.456
O9 O 0.192 0.190 0.038
O10 O 0.201 0.192 0.714
O11 O 0.300 0.191 0.120
O12 O 0.303 0.193 0.796
O13 O 0.311 0.190 0.376
O14 O 0.500 0.000 0.056
O15 O 0.500 0.000 0.315
O16 O 0.500 0.000 0.438
O17 O 0.500 0.000 0.549
O18 O 0.500 0.000 0.640
O19 O 0.500 0.000 0.737
O20 O 0.500 0.000 0.858
O21 O 0.500 0.000 0.951